Record 1
The following is a DFT calculation (PBE) of a relaxed Nb2CdIn crystal.

```
data_Nb2CdIn
_symmetry_space_group_name_H-M 'P 1'
_symmetry_Int_Tables_number 1
_symmetry_space_group_name_Hall 'P 1'
_cell_length_a 4.821
_cell_length_b 4.821
_cell_length_c 4.821
_cell_angle_alpha 60.00
_cell_angle_beta 60.00
_cell_angle_gamma 60.00
loop_
_atom_site_label
_atom_site_type_symbol
_atom_site_fract_x
_atom_site_fract_y
_atom_site_fract_z
_atom_site_occupancy
Nb1 Nb 0.000 0.000 0.000 1
Nb2 Nb 0.250 0.250 0.250 1
Cd1 Cd 0.750 0.750 0.750 1
In1 In 0.500 0.500 0.500 1
```

Record 2
The following is a DFT calculation (PBE) of a relaxed NbCd2InO6 crystal.

```
data_NbCd2InO6
_symmetry_space_group_name_H-M 'P 1'
_symmetry_Int_Tables_number 1
_symmetry_space_group_name_Hall 'P 1'
_cell_length_a 5.516
_cell_length_b 5.664
_cell_length_c 9.678
_cell_angle_alpha 90.00
_cell_angle_beta 124.50
_cell_angle_gamma 90.00
loop_
_atom_site_label
_atom_site_type_symbol
_atom_site_fract_x
_atom_site_fract_y
_atom_site_fract_z
_atom_site_occupancy
Nb1 Nb 0.000 0.000 0.000 1
Nb2 Nb 0.000 0.500 0.500 1
Cd1 Cd 0.240 0.048 0.750 1
Cd2 Cd 0.240 0.452 0.250 1
Cd3 Cd 0.760 0.548 0.750 1
Cd4 Cd 0.760 0.952 0.250 1
In1 In 0.500 0.000 0.500 1
In2 In 0.500 0.500 0.000 1
O1 O 0.114 0.203 0.436 1
O2 O 0.114 0.297 0.936 1
O3 O 0.243 0.684 0.444 1
O4 O 0.243 0.816 0.944 1
O5 O 0.353 0.052 0.240 1
O6 O 0.353 0.448 0.740 1
O7 O 0.647 0.552 0.260 1
O8 O 0.647 0.948 0.760 1
O9 O 0.757 0.184 0.056 1
O10 O 0.757 0.316 0.556 1
O11 O 0.886 0.703 0.064 1
O12 O 0.886 0.797 0.564 1
```

Record 3
The following is a DFT calculation (PBE) of a relaxed NdCdIn2 crystal.

```
data_NdCdIn2
_symmetry_space_group_name_H-M 'P 1'
_symmetry_Int_Tables_number 1
_symmetry_space_group_name_Hall 'P 1'
_cell_length_a 4.709
_cell_length_b 4.709
_cell_length_c 4.630
_cell_angle_alpha 90.00
_cell_angle_beta 90.00
_cell_angle_gamma 90.00
loop_
_atom_site_label
_atom_site_type_symbol
_atom_site_fract_x
_atom_site_fract_y
_atom_site_fract_z
_atom_site_occupancy
Nd1 Nd 0.000 0.000 0.000 1
Cd1 Cd 0.500 0.500 0.000 1
In1 In 0.000 0.500 0.500 1
In2 In 0.500 0.000 0.500 1
```

Record 4
The following is a DFT calculation (PBE) of a relaxed Nd3Cd4In2 crystal.

```
data_Nd3Cd4In2
_symmetry_space_group_name_H-M 'P 1'
_symmetry_Int_Tables_number 1
_symmetry_space_group_name_Hall 'P 1'
_cell_length_a 6.182
_cell_length_b 6.182
_cell_length_c 9.452
_cell_angle_alpha 114.77
_cell_angle_beta 114.77
_cell_angle_gamma 47.74
loop_
_atom_site_label
_atom_site_type_symbol
_atom_site_fract_x
_atom_site_fract_y
_atom_site_fract_z
_atom_site_occupancy
Nd1 Nd 0.000 0.000 0.000 1
Nd2 Nd 0.334 0.334 0.330 1
Nd3 Nd 0.666 0.666 0.670 1
Cd1 Cd 0.075 0.075 0.410 1
Cd2 Cd 0.294 0.294 0.964 1
Cd3 Cd 0.706 0.706 0.036 1
Cd4 Cd 0.925 0.925 0.590 1
In1 In 0.390 0.390 0.725 1
In2 In 0.610 0.610 0.275 1
```

Record 5
The following is a DFT calculation (PBE) of a relaxed PrNdCd2In2 crystal.

```
data_PrNdCd2In2
_symmetry_space_group_name_H-M 'P 1'
_symmetry_Int_Tables_number 1
_symmetry_space_group_name_Hall 'P 1'
_cell_length_a 4.991
_cell_length_b 4.991
_cell_length_c 7.458
_cell_angle_alpha 90.00
_cell_angle_beta 90.00
_cell_angle_gamma 120.00
loop_
_atom_site_label
_atom_site_type_symbol
_atom_site_fract_x
_atom_site_fract_y
_atom_site_fract_z
_atom_site_occupancy
Pr1 Pr 0.000 0.000 0.000 1
Nd1 Nd 0.000 0.000 0.500 1
Cd1 Cd 0.333 0.667 0.749 1
Cd2 Cd 0.667 0.333 0.251 1
In1 In 0.333 0.667 0.251 1
In2 In 0.667 0.333 0.749 1
```

Record 6
The following is a DFT calculation (PBE) of a relaxed PrNd2Cd4In2 crystal.

```
data_PrNd2Cd4In2
_symmetry_space_group_name_H-M 'P 1'
_symmetry_Int_Tables_number 1
_symmetry_space_group_name_Hall 'P 1'
_cell_length_a 4.722
_cell_length_b 7.668
_cell_length_c 7.668
_cell_angle_alpha 120.10
_cell_angle_beta 90.00
_cell_angle_gamma 90.00
loop_
_atom_site_label
_atom_site_type_symbol
_atom_site_fract_x
_atom_site_fract_y
_atom_site_fract_z
_atom_site_occupancy
Pr1 Pr 0.000 0.000 0.000 1
Nd1 Nd 0.000 0.422 0.844 1
Nd2 Nd 0.000 0.844 0.422 1
Cd1 Cd 0.000 0.423 0.423 1
Cd2 Cd 0.500 0.182 0.422 1
Cd3 Cd 0.500 0.422 0.182 1
Cd4 Cd 0.500 0.662 0.662 1
In1 In 0.500 0.089 0.754 1
In2 In 0.500 0.754 0.089 1
```

Record 7
The following is a DFT calculation (PBE) of a relaxed NdCdInTe3 crystal.

```
data_NdCdInTe3
_symmetry_space_group_name_H-M 'P 1'
_symmetry_Int_Tables_number 1
_symmetry_space_group_name_Hall 'P 1'
_cell_length_a 12.907
_cell_length_b 4.672
_cell_length_c 13.308
_cell_angle_alpha 90.00
_cell_angle_beta 90.00
_cell_angle_gamma 90.00
loop_
_atom_site_label
_atom_site_type_symbol
_atom_site_fract_x
_atom_site_fract_y
_atom_site_fract_z
_atom_site_occupancy
Nd1 Nd 0.024 0.250 0.182 1
Nd2 Nd 0.476 0.750 0.682 1
Nd3 Nd 0.524 0.250 0.318 1
Nd4 Nd 0.976 0.750 0.818 1
Cd1 Cd 0.244 0.750 0.299 1
Cd2 Cd 0.256 0.250 0.799 1
Cd3 Cd 0.744 0.750 0.201 1
Cd4 Cd 0.756 0.250 0.701 1
In1 In 0.172 0.250 0.494 1
In2 In 0.328 0.750 0.994 1
In3 In 0.672 0.250 0.006 1
In4 In 0.828 0.750 0.506 1
Te1 Te 0.031 0.750 0.353 1
Te2 Te 0.092 0.250 0.939 1
Te3 Te 0.224 0.750 0.677 1
Te4 Te 0.276 0.250 0.177 1
Te5 Te 0.408 0.750 0.439 1
Te6 Te 0.469 0.250 0.853 1
Te7 Te 0.531 0.750 0.147 1
Te8 Te 0.592 0.250 0.561 1
Te9 Te 0.724 0.750 0.823 1
Te10 Te 0.776 0.250 0.323 1
Te11 Te 0.908 0.750 0.061 1
Te12 Te 0.969 0.250 0.647 1
```

Properties
Polymorph energy (0 for the lowest one) in eV/f.u.: 0.19

Record 8
The following is a DFT calculation (PBE) of a relaxed NdCdInTe3 crystal.

```
data_NdCdInTe3
_symmetry_space_group_name_H-M 'P 1'
_symmetry_Int_Tables_number 1
_symmetry_space_group_name_Hall 'P 1'
_cell_length_a 8.837
_cell_length_b 4.700
_cell_length_c 18.881
_cell_angle_alpha 90.00
_cell_angle_beta 90.00
_cell_angle_gamma 90.00
loop_
_atom_site_label
_atom_site_type_symbol
_atom_site_fract_x
_atom_site_fract_y
_atom_site_fract_z
_atom_site_occupancy
Nd1 Nd 0.229 0.250 0.041 1
Nd2 Nd 0.271 0.750 0.541 1
Nd3 Nd 0.729 0.250 0.459 1
Nd4 Nd 0.771 0.750 0.959 1
Cd1 Cd 0.073 0.250 0.340 1
Cd2 Cd 0.427 0.750 0.840 1
Cd3 Cd 0.573 0.250 0.160 1
Cd4 Cd 0.927 0.750 0.660 1
In1 In 0.058 0.250 0.801 1
In2 In 0.442 0.750 0.301 1
In3 In 0.558 0.250 0.699 1
In4 In 0.942 0.750 0.199 1
Te1 Te 0.006 0.250 0.578 1
Te2 Te 0.130 0.750 0.936 1
Te3 Te 0.229 0.250 0.209 1
Te4 Te 0.271 0.750 0.709 1
Te5 Te 0.370 0.250 0.436 1
Te6 Te 0.494 0.750 0.078 1
Te7 Te 0.506 0.250 0.922 1
Te8 Te 0.630 0.750 0.564 1
Te9 Te 0.729 0.250 0.291 1
Te10 Te 0.771 0.750 0.791 1
Te11 Te 0.870 0.250 0.064 1
Te12 Te 0.994 0.750 0.422 1
```

Properties
Polymorph energy (0 for the lowest one) in eV/f.u.: 0.35

Record 9
The following is a DFT calculation (PBE) of a relaxed NdCdInTe3 crystal.

```
data_NdCdInTe3
_symmetry_space_group_name_H-M 'P 1'
_symmetry_Int_Tables_number 1
_symmetry_space_group_name_Hall 'P 1'
_cell_length_a 11.881
_cell_length_b 4.532
_cell_length_c 15.245
_cell_angle_alpha 90.00
_cell_angle_beta 90.00
_cell_angle_gamma 90.00
loop_
_atom_site_label
_atom_site_type_symbol
_atom_site_fract_x
_atom_site_fract_y
_atom_site_fract_z
_atom_site_occupancy
Nd1 Nd 0.014 0.250 0.244 1
Nd2 Nd 0.486 0.750 0.744 1
Nd3 Nd 0.514 0.250 0.256 1
Nd4 Nd 0.986 0.750 0.756 1
Cd1 Cd 0.239 0.250 0.719 1
Cd2 Cd 0.261 0.750 0.219 1
Cd3 Cd 0.739 0.250 0.781 1
Cd4 Cd 0.761 0.750 0.281 1
In1 In 0.224 0.750 0.511 1
In2 In 0.276 0.250 0.011 1
In3 In 0.724 0.750 0.989 1
In4 In 0.776 0.250 0.489 1
Te1 Te 0.042 0.250 0.613 1
Te2 Te 0.074 0.750 0.104 1
Te3 Te 0.238 0.750 0.837 1
Te4 Te 0.262 0.250 0.337 1
Te5 Te 0.426 0.250 0.604 1
Te6 Te 0.458 0.750 0.113 1
Te7 Te 0.542 0.250 0.887 1
Te8 Te 0.574 0.750 0.396 1
Te9 Te 0.738 0.750 0.663 1
Te10 Te 0.762 0.250 0.163 1
Te11 Te 0.926 0.250 0.896 1
Te12 Te 0.958 0.750 0.387 1
```

Properties
Polymorph energy (0 for the lowest one) in eV/f.u.: 0.00

Record 10
The following is a DFT calculation (PBE) of a relaxed NdCdInTe3 crystal.

```
data_NdCdInTe3
_symmetry_space_group_name_H-M 'P 1'
_symmetry_Int_Tables_number 1
_symmetry_space_group_name_Hall 'P 1'
_cell_length_a 10.048
_cell_length_b 10.048
_cell_length_c 9.661
_cell_angle_alpha 103.45
_cell_angle_beta 103.45
_cell_angle_gamma 25.68
loop_
_atom_site_label
_atom_site_type_symbol
_atom_site_fract_x
_atom_site_fract_y
_atom_site_fract_z
_atom_site_occupancy
Nd1 Nd 0.175 0.175 0.092 1
Nd2 Nd 0.825 0.825 0.908 1
Cd1 Cd 0.469 0.469 0.778 1
Cd2 Cd 0.531 0.531 0.222 1
In1 In 0.134 0.134 0.578 1
In2 In 0.866 0.866 0.422 1
Te1 Te 0.000 0.000 0.000 1
Te2 Te 0.318 0.318 0.673 1
Te3 Te 0.338 0.338 0.144 1
Te4 Te 0.500 0.500 0.500 1
Te5 Te 0.662 0.662 0.856 1
Te6 Te 0.682 0.682 0.327 1
```

Properties
Polymorph energy (0 for the lowest one) in eV/f.u.: 0.45

Record 11
The following is a DFT calculation (PBE) of a relaxed NdCdInTe3 crystal.

```
data_NdCdInTe3
_symmetry_space_group_name_H-M 'P 1'
_symmetry_Int_Tables_number 1
_symmetry_space_group_name_Hall 'P 1'
_cell_length_a 15.281
_cell_length_b 4.544
_cell_length_c 12.110
_cell_angle_alpha 90.00
_cell_angle_beta 90.00
_cell_angle_gamma 90.00
loop_
_atom_site_label
_atom_site_type_symbol
_atom_site_fract_x
_atom_site_fract_y
_atom_site_fract_z
_atom_site_occupancy
Nd1 Nd 0.028 0.250 0.158 1
Nd2 Nd 0.472 0.750 0.658 1
Nd3 Nd 0.528 0.250 0.342 1
Nd4 Nd 0.972 0.750 0.842 1
Cd1 Cd 0.020 0.750 0.397 1
Cd2 Cd 0.480 0.250 0.897 1
Cd3 Cd 0.520 0.750 0.103 1
Cd4 Cd 0.980 0.250 0.603 1
In1 In 0.242 0.250 0.458 1
In2 In 0.258 0.750 0.958 1
In3 In 0.742 0.250 0.042 1
In4 In 0.758 0.750 0.542 1
Te1 Te 0.097 0.750 0.620 1
Te2 Te 0.106 0.250 0.919 1
Te3 Te 0.159 0.750 0.240 1
Te4 Te 0.341 0.250 0.740 1
Te5 Te 0.394 0.750 0.419 1
Te6 Te 0.403 0.250 0.120 1
Te7 Te 0.597 0.750 0.880 1
Te8 Te 0.606 0.250 0.581 1
Te9 Te 0.659 0.750 0.260 1
Te10 Te 0.841 0.250 0.760 1
Te11 Te 0.894 0.750 0.081 1
Te12 Te 0.903 0.250 0.380 1
```

Properties
Polymorph energy (0 for the lowest one) in eV/f.u.: 0.06

Record 12
The following is a DFT calculation (PBE) of a relaxed NdCdInTe3 crystal.

```
data_NdCdInTe3
_symmetry_space_group_name_H-M 'P 1'
_symmetry_Int_Tables_number 1
_symmetry_space_group_name_Hall 'P 1'
_cell_length_a 7.982
_cell_length_b 7.982
_cell_length_c 11.874
_cell_angle_alpha 90.00
_cell_angle_beta 90.00
_cell_angle_gamma 147.10
loop_
_atom_site_label
_atom_site_type_symbol
_atom_site_fract_x
_atom_site_fract_y
_atom_site_fract_z
_atom_site_occupancy
Nd1 Nd 0.000 0.000 0.000 1
Nd2 Nd 0.000 0.000 0.500 1
Cd1 Cd 0.467 0.533 0.750 1
Cd2 Cd 0.533 0.467 0.250 1
In1 In 0.240 0.760 0.250 1
In2 In 0.760 0.240 0.750 1
Te1 Te 0.085 0.915 0.750 1
Te2 Te 0.359 0.641 0.557 1
Te3 Te 0.359 0.641 0.943 1
Te4 Te 0.641 0.359 0.057 1
Te5 Te 0.641 0.359 0.443 1
Te6 Te 0.915 0.085 0.250 1
```

Properties
Polymorph energy (0 for the lowest one) in eV/f.u.: 0.01

| no. | E_tot (eV per cell) | V (Å³/atom) |
| --- | --- | --- |
| 1 | -22.28 | 19.81 |
| 2 | -122.52 | 12.46 |
| 3 | -12.89 | 25.66 |
| 4 | -27.16 | 26.40 |
| 5 | -19.48 | 26.81 |
| 6 | -27.24 | 26.69 |
| 7 | -89.19 | 33.44 |
| 8 | -88.56 | 32.68 |
| 9 | -89.95 | 34.20 |
| 10 | -44.08 | 34.20 |
| 11 | -89.72 | 35.03 |
| 12 | -44.96 | 34.25 |